This record from Alexandria describes a relaxed structure of ScTe2SeI. The functional is GGA-PBE. Values from VASP.

Calculated values
**DOS at the Fermi energy**: 1.0587 states/eV/atom
**Final energy**: -3.559 eV per atom
**Energy above the lowest structure with this stoichiometry**: 0.000 eV per atom
**Formation energy (no corrections)**: -0.029 eV per atom
**Symmetry**: P4/mmm, No. 123

Cell and atoms, written as Quantum ESPRESSO input:
```
&SYSTEM
  ibrav = 0, nat = 5, ntyp = 4
/
ATOMIC_SPECIES
Sc 44.96 Sc.upf
Te 127.60 Te.upf
I 126.90 I.upf
Se 78.96 Se.upf
CELL_PARAMETERS angstrom
5.6294 0.0000 0.0000
0.0000 5.6294 0.0000
0.0000 0.0000 5.4164
ATOMIC_POSITIONS crystal
Sc 0.0000 0.0000 0.0000
Te 0.0000 0.5000 0.0000
Te 0.5000 0.0000 0.0000
I 0.0000 0.0000 0.5000
Se 0.5000 0.5000 0.5000
```



This record from Alexandria describes a relaxed structure of Cs5PmSe4. The functional is GGA-PBE. Values from VASP.

Calculated values
**Final energy**: -3.499 eV per atom
**Formation energy (no corrections)**: -1.203 eV per atom
**Symmetry**: C2/m, No. 12

Cell and atoms, written as Quantum ESPRESSO input:
```
&SYSTEM
  ibrav = 0, nat = 10, ntyp = 3
/
ATOMIC_SPECIES
Cs 132.91 Cs.upf
Se 78.96 Se.upf
Pm 145.00 Pm.upf
CELL_PARAMETERS angstrom
4.8031 0.0000 0.0000
0.0000 9.2920 -1.1543
-2.4016 -2.5412 10.5122
ATOMIC_POSITIONS crystal
Cs 0.8323 0.1188 0.6646
Cs 0.5000 0.5000 0.0000
Cs 0.8348 0.6184 0.6697
Cs 0.1677 0.8812 0.3354
Cs 0.1652 0.3816 0.3303
Se 0.3495 0.8773 0.6989
Se 0.0002 0.2114 0.0005
Se 0.6505 0.1227 0.3011
Se 0.9998 0.7886 0.9995
Pm 0.5000 0.0000 0.0000
```



- Look up the final energy of the second one.
  -3.499 eV per atom



- What is the formation energy (no corrections) in the first record?
  -0.029 eV per atom



- What is the formation energy (no corrections) in the first record?
  -0.029 eV per atom



- Which formula does entry 2 have?
  Cs5PmSe4